DFT (GGA+U) results for a relaxed TcWIO2 crystal.

Output
Relative energy among the computed polymorphs   0.265 eV per atom
Magnetization   4.3 μB per cell
Space group   P4/mmm (123)

```
TcWIO2
1.0
3.9391 0.0000 0.0000
0.0000 3.9391 0.0000
0.0000 0.0000 6.1996
I O Tc W
1 2 1 1
Cartesian
0.0000 0.0000 3.0998
0.0000 1.9695 0.0000
1.9695 0.0000 0.0000
0.0000 0.0000 0.0000
1.9695 1.9695 3.0998
```